Entry a
Density functional theory data (GGA-PBE) for an optimized crystal structure of AcEu2P.

abc: 3.764 3.764 9.375
angles: 90.00 90.00 90.00
Site moments in Bohr magnetons follow the coordinates.
Element x y z (fractional)
Eu 0.000 0.000 0.835  6.84
Eu 0.000 0.000 0.165  6.84
P 0.500 0.500 0.000  -0.09
Ac 0.500 0.500 0.500  0.05

## Properties
size of the total moment = 14.27 μB per formula unit

***

Entry b
Density functional theory data (GGA-PBE) for an optimized crystal structure of AcEu2P.

abc: 4.043 4.043 11.232
angles: 79.63 79.63 60.00
Site moments in Bohr magnetons follow the coordinates.
Element x y z (fractional)
Eu 0.116 0.116 0.652  6.81
Eu 0.884 0.884 0.348  6.81
P 0.500 0.500 0.500  -0.11
Ac 0.000 0.000 0.000  0.07

## Properties
size of the total moment = 14.23 μB per formula unit

***

Relative energies, in eV/atom, with the most stable structure set to zero: entry a 0.000; entry b 0.028.

***

Entry a
Density functional theory data (GGA-PBE) for an optimized crystal structure of Ac2PmEu.

abc: 6.158 6.158 6.158
angles: 60.00 60.00 60.00
Site moments in Bohr magnetons follow the coordinates.
Element x y z (fractional)
Eu 0.000 0.000 0.000  6.91
Ac 0.250 0.250 0.250  0.10
Ac 0.750 0.750 0.750  0.10
Pm 0.500 0.500 0.500  0.14

## Properties
size of the total moment = 8.16 μB per formula unit

***

Entry b
Density functional theory data (GGA-PBE) for an optimized crystal structure of Ac2PmEu.

abc: 3.896 3.896 12.774
angles: 81.23 81.23 60.00
Site moments in Bohr magnetons follow the coordinates.
Element x y z (fractional)
Eu 0.500 0.500 0.500  -6.99
Ac 0.747 0.747 0.759  -0.03
Ac 0.253 0.253 0.241  -0.03
Pm 0.000 0.000 0.000  0.05

## Properties
size of the total moment = 7.55 μB per formula unit

***

Relative energies, in eV/atom, with the most stable structure set to zero: entry a 0.077; entry b 0.000.

***

Entry a
Density functional theory data (GGA-PBE) for an optimized crystal structure of AcEuPt2.

abc: 3.707 5.206 5.206
angles: 90.00 90.00 90.00
Site moments in Bohr magnetons follow the coordinates.
Element x y z (fractional)
Eu 0.500 0.500 0.500  6.79
Ac 0.500 0.000 0.000  0.03
Pt 0.000 0.000 0.500  -0.01
Pt 0.000 0.500 0.000  -0.01

## Properties
size of the total moment = 7.07 μB per formula unit

***

Entry b
Density functional theory data (GGA-PBE) for an optimized crystal structure of AcEuPt2.

abc: 5.216 5.216 5.216
angles: 60.00 60.00 60.00
Site moments in Bohr magnetons follow the coordinates.
Element x y z (fractional)
Eu 0.000 0.000 0.000  6.81
Ac 0.500 0.500 0.500  0.04
Pt 0.250 0.250 0.250  -0.01
Pt 0.750 0.750 0.750  -0.01

## Properties
size of the total moment = 7.14 μB per formula unit

***

Relative energies, in eV/atom, with the most stable structure set to zero: entry a 0.013; entry b 0.000.